Record 1
## ZnInSeN2 (PBE)

Data for an optimized crystal structure of ZnInSeN2.

The density of states at the Fermi level is 2.0 states/eV/f.u.

a b c (Å): 4.000 4.000 5.533
angles (deg): 90.00 90.00 90.00
Site moments in Bohr magnetons follow the coordinates.
Sites, in units of the cell vectors:
N 0.500 0.000 0.000  1.05
N 0.000 0.500 0.000  1.05
Se 0.000 0.000 0.500  0.13
In 0.500 0.500 0.500  -0.03
Zn 0.000 0.000 0.000  0.04

=====

Record 2
## ZnInSeN2 (PBE)

Data for an optimized crystal structure of ZnInSeN2.

The density of states at the Fermi level is 2.0 states/eV/f.u.

a b c (Å): 4.196 4.196 5.851
angles (deg): 90.00 90.00 90.00
Site moments in Bohr magnetons follow the coordinates.
Sites, in units of the cell vectors:
N 0.500 0.000 0.000  1.09
N 0.000 0.500 0.000  1.09
Zn 0.500 0.500 0.500  0.00
Se 0.000 0.000 0.500  0.13
In 0.000 0.000 0.000  -0.01

=====

| no. | ΔE to the lowest computed polymorph (meV per atom) | total energy (eV/atom) | total magnetic moment (μB per cell) |
| --- | --- | --- | --- |
| 1 | 0 | -3.620 | 3.19 |
| 2 | 131 | -3.489 | 3.33 |